TlGaCo3 (PBE, relaxed); energy of formation from the pure elements = 1638 meV per atom; total energy = -3.704 eV per atom; polymorph energy (0 for the lowest one) = 0.774 eV/atom; magnetic moment = 1.05 μB per atom; space-group type = Pm-3m, No. 221
1.0
-2.6135 0.3954 -4.0426
1.7686 -4.2167 -1.5559
-3.6566 -2.3221 2.1369
Tl Co Ga
1 3 1
direct
0.0000 0.0000 0.0000
0.0000 0.5000 0.0000
0.0000 0.0000 0.5000
0.5000 0.0000 0.0000
0.5000 0.5000 0.5000